[1]
9
Lattice="4.2780 0.0000 0.0000 0.0000 4.2780 0.0000 0.0000 0.0000 9.5458" Properties=species:S:1:pos:R:3 comment="AcSmZn2Pd5, relaxed, DFT GGA-PBE" formation_energy_ev_per_atom=-0.64 n_ef_per_ev_cell=3.9 dft_energy_ev_per_atom=-4.79 magnetic_moment_mub_per_fu=0.00 vol_a3_per_atom=19.411 pbc="T T T"
Ac 0.0000 0.0000 0.0000
Sm 0.0000 0.0000 4.7729
Zn 2.1390 2.1390 3.5534
Zn 2.1390 2.1390 5.9923
Pd 0.0000 2.1390 2.2229
Pd 0.0000 2.1390 7.3229
Pd 2.1390 0.0000 2.2229
Pd 2.1390 0.0000 7.3229
Pd 2.1390 2.1390 0.0000

=====

[2]
4
Lattice="3.2330 0.0000 0.0000 0.0000 3.2330 0.0000 0.0000 0.0000 8.1201" Properties=species:S:1:pos:R:3 comment="PmNpSi2, relaxed, DFT GGA-PBE" n_ef_per_ev_cell=6.0 dft_energy_ev_per_atom=-7.38 magnetic_moment_mub_per_fu=3.78 formation_energy_uncorrected_ev_per_atom=-0.245 vol_a3_per_atom=21.219 pbc="T T T"
Pm 0.0000 0.0000 0.0000
Np 0.0000 0.0000 4.0601
Si 1.6165 1.6165 2.1138
Si 1.6165 1.6165 6.0063

=====

[3]
4
Lattice="1.5690 0.9059 8.7615 -1.5690 0.9059 8.7615 0.0000 -1.8117 8.7615" Properties=species:S:1:pos:R:3 comment="Mo3Pb, relaxed, DFT GGA-PBE" formation_energy_ev_per_atom=0.62 n_ef_per_ev_cell=7.7 dft_energy_ev_per_atom=-8.43 magnetic_moment_mub_per_fu=0.00 vol_a3_per_atom=18.679 pbc="T T T"
Mo 0.0000 0.0000 0.0000
Mo 0.0000 0.0000 6.8552
Mo 0.0000 0.0000 19.4292
Pb 0.0000 0.0000 13.1422

=====

[4]
7
Lattice="4.6043 0.0000 0.0000 0.0000 3.0410 0.0000 -2.3030 0.0000 9.9541" Properties=species:S:1:pos:R:3 comment="Li3Ag2Sn2, relaxed, DFT GGA-PBE" formation_energy_ev_per_atom=-0.13 n_ef_per_ev_cell=2.2 dft_energy_ev_per_atom=-2.90 magnetic_moment_mub_per_fu=0.00 vol_a3_per_atom=19.911 pbc="T T T"
Li 0.0000 0.0000 0.0000
Li -0.0038 0.0000 5.7121
Li 2.3051 0.0000 4.2420
Ag 0.0092 0.0000 2.8519
Ag 2.2921 0.0000 7.1022
Sn -0.0127 1.5205 8.3769
Sn 2.3140 1.5205 1.5772

=====

[5]
10
Lattice="6.7506 0.0000 0.0000 0.0000 6.7506 0.0000 0.0000 0.0000 2.9891" Properties=species:S:1:pos:R:3 comment="Be2Cu2Sb, relaxed, DFT GGA-PBE" n_ef_per_ev_cell=3.6 dft_energy_ev_per_atom=-3.63 magnetic_moment_mub_per_fu=0.00 formation_energy_uncorrected_ev_per_atom=0.320 vol_a3_per_atom=13.621 pbc="T T T"
Be 0.8492 2.5261 0.0000
Be 2.5261 5.9015 0.0000
Be 4.2245 0.8492 0.0000
Be 5.9015 4.2245 0.0000
Cu 0.9792 4.3545 1.4945
Cu 2.3961 0.9792 1.4945
Cu 4.3545 5.7714 1.4945
Cu 5.7714 2.3961 1.4945
Sb 0.0000 0.0000 0.0000
Sb 3.3753 3.3753 0.0000

=====

[6]
5
Lattice="5.4260 0.0000 0.0000 0.0000 5.4260 0.0000 0.0000 0.0000 5.4260" Properties=species:S:1:pos:R:3 comment="BaSi3Pt, relaxed, DFT GGA-PBE" n_ef_per_ev_cell=3.6 dft_energy_ev_per_atom=-2.60 magnetic_moment_mub_per_fu=0.00 formation_energy_uncorrected_ev_per_atom=2.247 vol_a3_per_atom=31.949 pbc="T T T"
Ba 0.0000 0.0000 0.0000
Si 0.0000 0.0000 2.7130
Si 0.0000 2.7130 0.0000
Si 2.7130 0.0000 0.0000
Pt 2.7130 2.7130 2.7130